No. 1
Here is AgHPdPt2 after structural relaxation from the Alexandria database. Energies are from GGA-PBE.

```
AgHPdPt2
1.0
-0.3030 -2.8930 -2.7269
2.6371 -2.1929 2.0334
-3.1488 -1.7453 2.2015
H Pd Ag Pt
1 1 1 2
Cartesian
0.0000 0.0000 0.0000
-1.5744 -0.8726 1.1008
-0.4074 -3.4156 0.7540
1.3185 -1.0964 1.0167
-0.1515 -1.4465 -1.3635
```

Values from the calculation:
Magnetization (μB/f.u.): 0.00
Polymorph energy (0 for the lowest one) (kJ/mol of atoms): 0.0
DOS(E_F) (states/eV per atom): 0.975


No. 2
Here is Mg2BiOs after structural relaxation from the Alexandria database. Energies are from GGA-PBE.

```
Mg2BiOs
1.0
4.1874 0.0000 0.0000
0.0000 4.1874 0.0000
2.0937 2.0937 9.8057
Mg Os Bi
4 2 2
Cartesian
3.0063 1.0469 2.4514
1.1811 3.1406 2.4514
3.1406 3.2748 7.3543
5.2343 5.1001 7.3543
2.0937 2.0937 0.0000
2.0937 4.1874 4.9029
0.0000 0.0000 0.0000
4.1874 2.0937 4.9029
```

Values from the calculation:
DFT formation energy (eV per atom): 0.640
Magnetization (μB/f.u.): 0.00
DOS(E_F) (states/eV per atom): 0.878


No. 3
Here is Mn2ReSiH after structural relaxation from the Alexandria database. Energies are from GGA-PBE.

```
Mn2ReSiH
1.0
3.6951 0.0000 0.0000
0.0000 3.6951 0.0000
0.0000 0.0000 3.9277
Re Si Mn H
1 1 2 1
Cartesian
0.0000 0.0000 1.9638
1.8476 1.8476 1.9638
0.0000 1.8476 0.0000
1.8476 0.0000 0.0000
0.0000 0.0000 0.0000
```

Values from the calculation:
Magnetization (μB/f.u.): 4.86
Calculated total energy (eV/atom): -7.967
DOS(E_F) (states/eV per atom): 0.678


No. 4
Here is Zn4Au after structural relaxation from the Alexandria database. Energies are from GGA-PBE.

```
Zn4Au
1.0
3.9919 0.0000 0.0000
1.9959 4.4039 0.0000
-1.9959 0.0000 4.4039
Au Zn
1 4
Cartesian
0.0000 0.0000 0.0000
3.9919 3.4982 1.7811
0.0000 0.9057 2.6229
1.9959 2.6229 3.4982
1.9959 1.7811 0.9057
```

Values from the calculation:
DFT formation energy (eV per atom): -0.096
Magnetization (μB/f.u.): 0.00
Polymorph energy (0 for the lowest one) (kJ/mol of atoms): 0.0
DOS(E_F) (states/eV per atom): 0.302


No. 5
Here is OsRh2 after structural relaxation from the Alexandria database. Energies are from GGA-PBE.

```
OsRh2
1.0
2.6709 0.0000 0.0000
0.0000 3.9402 0.0000
0.0000 0.0000 17.7855
Rh Os
8 4
Cartesian
0.0000 0.9850 0.8021
0.0000 0.9850 3.3505
0.0000 2.9551 14.4350
0.0000 2.9551 16.9834
1.3354 0.9850 5.5422
1.3354 0.9850 8.0907
1.3354 2.9551 9.6948
1.3354 2.9551 12.2433
0.0000 0.9850 10.8568
0.0000 2.9551 6.9287
1.3354 0.9850 15.8214
1.3354 2.9551 1.9641
```

Values from the calculation:
DFT formation energy (eV per atom): 0.407
Magnetization (μB/f.u.): 0.00
Polymorph energy (0 for the lowest one) (kJ/mol of atoms): 37.7
DOS(E_F) (states/eV per atom): 1.004


No. 6
Here is YTm3Rh2 after structural relaxation from the Alexandria database. Energies are from GGA-PBE.

```
YTm3Rh2
1.0
6.6369 0.0000 0.0000
0.0000 6.9976 0.0000
-3.3185 -3.4988 6.7298
Y Tm Rh
2 6 4
Cartesian
0.0000 3.4988 0.0000
0.0000 0.0000 0.0000
3.3185 1.7494 0.0000
3.3185 5.2482 0.0000
3.3185 -1.7494 3.5991
0.0000 1.7494 3.1307
0.0000 5.2482 3.1307
3.3185 1.7494 3.5991
1.3854 0.0000 4.8521
4.7039 0.0000 1.8777
-1.3854 3.4988 4.8521
1.9330 3.4988 1.8777
```

Values from the calculation:
DFT formation energy (eV per atom): -0.602
Magnetization (μB/f.u.): 0.00
Polymorph energy (0 for the lowest one) (kJ/mol of atoms): 9.1
DOS(E_F) (states/eV per atom): 0.800


No. 7
Here is ZnBF2 after structural relaxation from the Alexandria database. Energies are from GGA-PBE.

```
ZnBF2
1.0
4.8155 2.2888 -0.5427
-3.6004 0.6945 3.9086
1.3935 -5.1122 0.8037
Zn B F
2 2 4
Cartesian
3.4083 -0.6659 0.9719
0.0000 0.0000 0.0000
-0.7996 -1.4630 3.1976
0.6076 1.4916 1.6829
-0.9267 -4.0864 3.1505
3.2316 1.2118 0.1776
1.3912 -0.9593 1.1541
1.5212 -0.4238 3.8569
```

Values from the calculation:
Formation energy without anion corrections (eV per atom): -0.296
Magnetization (μB/f.u.): 0.76
Polymorph energy (0 for the lowest one) (kJ/mol of atoms): 60.6
DOS(E_F) (states/eV per atom): 0.367


No. 8
Here is TaNb2Fe after structural relaxation from the Alexandria database. Energies are from GGA-PBE.

```
TaNb2Fe
1.0
4.3649 0.0122 -1.2085
-0.3515 4.3507 -1.2085
-0.3653 -0.3971 7.1348
Ta Nb Fe
2 4 2
Cartesian
1.3881 1.5090 0.7815
2.2601 2.4568 3.9362
3.3991 3.6951 -0.4123
0.2490 0.2707 5.1300
1.9998 -0.1925 2.9631
-0.3584 1.9768 2.9631
0.8272 3.2664 -1.2085
3.1862 1.0964 -1.2085
```

Values from the calculation:
DFT formation energy (eV per atom): -0.037
Magnetization (μB/f.u.): 0.58
Polymorph energy (0 for the lowest one) (kJ/mol of atoms): 0.0
DOS(E_F) (states/eV per atom): 0.720


No. 9
Here is Hf2MoCS after structural relaxation from the Alexandria database. Energies are from GGA-PBE.

```
Hf2MoCS
1.0
5.0515 0.0000 0.0000
0.0000 3.9099 0.0000
0.0000 0.0000 5.0515
C Mo Hf S
1 1 2 1
Cartesian
0.0000 1.9550 0.0000
0.0000 0.0000 0.0000
0.0000 0.0000 2.5257
2.5257 0.0000 0.0000
2.5257 1.9550 2.5257
```

Values from the calculation:
Formation energy without anion corrections (eV per atom): 0.836
Magnetization (μB/f.u.): 0.00
DOS(E_F) (states/eV per atom): 1.181


No. 10
Here is Sm2YPbC after structural relaxation from the Alexandria database. Energies are from GGA-PBE.

```
Sm2YPbC
1.0
4.9290 0.0000 0.0000
0.0000 5.0611 0.0000
0.0000 0.0000 5.0611
Sm Y Pb C
2 1 1 1
Cartesian
0.0000 0.0000 2.5305
0.0000 2.5305 0.0000
2.4645 0.0000 0.0000
2.4645 2.5305 2.5305
0.0000 0.0000 0.0000
```

Values from the calculation:
DFT formation energy (eV per atom): -0.492
Magnetization (μB/f.u.): 0.00
DOS(E_F) (states/eV per atom): 0.487


No. 11
Here is AlFePb4 after structural relaxation from the Alexandria database. Energies are from GGA-PBE.

```
AlFePb4
1.0
0.0000 4.5038 4.5038
4.5038 0.0000 4.5038
4.5038 4.5038 0.0000
Al Fe Pb
1 1 4
Cartesian
6.7557 6.7557 6.7557
0.0000 0.0000 0.0000
3.3757 5.6320 5.6320
5.6320 5.6320 3.3757
5.6320 3.3757 5.6320
3.3757 3.3757 3.3757
```

Values from the calculation:
DFT formation energy (eV per atom): 0.802
Magnetization (μB/f.u.): 3.15
DOS(E_F) (states/eV per atom): 1.222


No. 12
Here is Ti4CuIr after structural relaxation from the Alexandria database. Energies are from GGA-PBE.

```
Ti4CuIr
1.0
3.0265 -0.0006 0.0002
0.0006 3.0265 0.0002
-0.0004 -0.0004 10.2067
Ti Cu Ir
4 1 1
Cartesian
1.5131 1.5125 8.5294
1.5135 1.5130 1.6776
3.0267 3.0256 6.7342
-0.0001 -0.0001 3.4728
0.0000 0.0000 0.0000
1.5133 1.5127 5.1035
```

Values from the calculation:
DFT formation energy (eV per atom): -0.392
Magnetization (μB/f.u.): 0.00
Polymorph energy (0 for the lowest one) (kJ/mol of atoms): 0.0
DOS(E_F) (states/eV per atom): 0.532